First-principles (PBE) data for crystalline HgBiP2Cl at its relaxed geometry, as listed in Alexandria.

## Properties
Its energy above the most stable polymorph in this dataset is 0.25 eV per formula unit. Its total energy is -2.61 eV/atom. The calculation puts the uncorrected formation energy at 765 meV/atom. The value obtained for the density of states at the Fermi level is 0.75 states/eV/atom. Its mass density is 6.5 g cm⁻³.

Cell: 5.0235 5.0235 5.0983 Å, 90.00 90.00 90.00°
Space group P4/mmm (No. 123)
Unique sites:
Hg1 0.0000 0.0000 0.0000
Bi1 0.5000 0.5000 0.5000
P1 0.0000 0.5000 0.0000
Cl1 0.0000 0.0000 0.5000